# 1
Here is SrIr2 at its PBEsol-relaxed geometry from the Alexandria database. Energies are from meta-GGA SCAN.

a b c (Å): 2.8304 5.9991 7.5148
angles (deg): 112.23 90.00 103.64
Closest atoms and distances in Å follow each position.
Fractional coordinates of all 6 atoms:
1 Ir 0.5416 0.0832 0.6954  7 Ir 2.67-2.83
2 Ir 0.8396 0.6792 0.4880  8 Ir 2.59-2.83
3 Ir 0.1604 0.3208 0.5120  8 Ir 2.59-2.83
4 Ir 0.4584 0.9168 0.3046  7 Ir 2.67-2.83
5 Sr 0.1495 0.2990 0.1089  2 Sr 2.83, 1 Ir 2.98
6 Sr 0.8505 0.7010 0.8911  2 Sr 2.83, 1 Ir 2.98

The value obtained for the formation energy is 0.2004 eV per atom. The space group is C2/m.

# 2
Here is Be2AlFe at its PBEsol-relaxed geometry from the Alexandria database. Energies are from meta-GGA SCAN.

a b c (Å): 3.2970 3.2970 4.3410
angles (deg): 112.32 112.32 90.00
Closest atoms and distances in Å follow each position.
Fractional coordinates of all 4 atoms:
1 Be 0.0000 0.0000 0.0000  4 Fe 2.33, 4 Be 2.46, 4 Al 2.46
2 Be 0.7500 0.2500 0.5000  4 Al 2.33, 4 Fe 2.46, 4 Be 2.46
3 Fe 0.5000 0.5000 0.0000  8 Be 2.33-2.46, 4 Al 2.46
4 Al 0.2500 0.7500 0.5000  8 Be 2.33-2.46, 4 Fe 2.46

The value obtained for the formation energy is -0.2040 eV per atom. The space group is I-4m2.